Cs3TiSe3 | PBE | relaxed

Summary:
raw formation energy	-1.2258	eV per atom
E	-4.213	eV/atom

Lattice parameters (Å, degrees): 8.7604 14.3586 11.3445 90.00 127.51 90.00
Closest atoms and distances in Å follow each position.
Space group P2_1/c (No. 14)
Symmetry-distinct sites (fractional):
Cs: 0.1026 0.1435 0.4826 [4 per cell]  4 Se 3.52-3.69
Cs: 0.1422 0.0661 0.8909 [4 per cell]  5 Se 3.56-3.79
Cs: 0.3708 0.6955 0.5837 [4 per cell]  5 Se 3.56-3.95, 1 Ti 3.89
Ti: 0.4432 0.0498 0.3588 [4 per cell]  4 Se 2.45-2.49
Se: 0.1581 0.1504 0.2006 [4 per cell]  1 Ti 2.47
Se: 0.3576 0.6108 0.8820 [4 per cell]  2 Ti 2.49
Se: 0.3791 0.5431 0.2439 [4 per cell]  1 Ti 2.45


Nb12Mo5Pt3 | PBE | relaxed

Summary:
energy of formation	1009	meV/atom
E	-8.647	eV/atom

Lattice parameters (Å, degrees): 15.1411 15.1411 15.1411 90.00 90.00 90.00
Closest atoms and distances in Å follow each position.
Space group Ia-3d (No. 230)
Symmetry-distinct sites (fractional):
Nb: 0.0134 0.0708 0.6530 [96 per cell]  2 Mo 2.48-2.56, 2 Pt 2.75-2.77
Mo: 0.0000 0.0000 0.0000 [16 per cell]  6 Nb 2.56
Mo: 0.0000 0.2500 0.3750 [24 per cell]  4 Nb 2.48
Pt: 0.0000 0.2500 0.1250 [24 per cell]  8 Nb 2.75-2.77